No. 1
The following is a PBE calculation of a relaxed structure of LaPm6Sm5, from Alexandria.

POSCAR file:
```
LaPm6Sm5
1.0
3.164 -5.481 0.000
3.164 5.481 0.000
-2.124 0.000 11.931
La Pm Sm
1 6 5
Cartesian
0.000 0.000 0.000
1.052 1.832 3.000
-0.005 0.000 8.931
1.052 -1.832 3.000
3.153 1.832 8.931
4.210 0.000 3.001
3.153 -1.832 8.931
2.102 3.652 5.966
3.164 1.826 0.000
2.102 0.000 5.966
3.164 -1.826 0.000
2.102 -3.652 5.966
```

The calculation puts the spin magnetization at 0.00 μB per cell. The formation energy comes out at 15 meV/atom. Its space group is No. 12.


No. 2
The following is a PBE calculation of a relaxed structure of PaSF3, from Alexandria.

POSCAR file:
```
PaSF3
1.0
4.302 2.484 3.449
-4.302 2.484 3.449
0.000 -4.967 3.449
Pa S F
2 2 6
Cartesian
0.000 0.000 2.587
0.000 0.000 7.760
0.000 0.000 0.000
0.000 0.000 5.173
-1.035 -1.793 2.587
-1.035 1.793 2.587
2.070 0.000 2.587
-2.070 0.000 7.760
1.035 -1.793 7.760
1.035 1.793 7.760
```

The calculation puts the spin magnetization at 0.17 μB per cell. The calculation puts the energy above the most stable polymorph in this dataset at 0.062 eV/atom. Its space group is No. 167. The calculation puts the energy relative to the elements, uncorrected at -14.67 eV/f.u.


No. 3
The following is a PBE calculation of a relaxed structure of BaLaCdGe, from Alexandria.

POSCAR file:
```
BaLaCdGe
1.0
0.000 3.973 3.973
3.973 0.000 3.973
3.973 3.973 0.000
Ba La Cd Ge
1 1 1 1
Cartesian
0.000 0.000 0.000
3.973 3.973 3.973
5.960 5.960 5.960
1.987 1.987 1.987
```

The calculation puts the spin magnetization at 0.00 μB per cell. The formation energy comes out at -371 meV/atom. Its space group is No. 216.


No. 4
The following is a PBE calculation of a relaxed structure of BaEuBi2, from Alexandria.

POSCAR file:
```
BaEuBi2
1.0
5.615 0.000 0.000
0.000 5.615 0.000
0.000 0.000 4.666
Ba Eu Bi
1 1 2
Cartesian
0.000 0.000 0.000
2.808 2.808 0.000
0.000 2.808 2.333
2.808 0.000 2.333
```

The calculation puts the spin magnetization at 7.04 μB per cell. The formation energy comes out at -735 meV/atom. The calculation puts the energy above the most stable polymorph in this dataset at 0.047 eV/atom. Its space group is No. 123.


No. 5
The following is a PBE calculation of a relaxed structure of SnOs2Ru, from Alexandria.

POSCAR file:
```
SnOs2Ru
1.0
-2.878 2.878 5.745
2.878 -2.878 5.745
2.878 2.878 -5.745
Sn Os Ru
2 4 2
Cartesian
0.000 0.000 0.000
0.000 2.878 2.873
1.439 -1.211 4.309
1.667 1.439 1.436
1.439 4.090 -1.436
1.211 1.439 7.181
2.878 0.000 2.873
0.000 0.000 5.745
```

The calculation puts the spin magnetization at 0.00 μB per cell. The formation energy comes out at 1288 meV/atom. Its space group is No. 122.


No. 6
The following is a PBE calculation of a relaxed structure of Dy4GaHg5, from Alexandria.

POSCAR file:
```
Dy4GaHg5
1.0
7.765 -2.562 0.000
7.765 2.562 0.000
-1.667 0.000 6.178
Dy Ga Hg
4 1 5
Cartesian
0.789 0.000 2.216
4.538 0.000 1.215
9.325 0.000 4.962
13.075 0.000 3.962
6.932 0.000 3.089
0.174 0.000 5.517
3.358 0.000 4.153
7.765 0.000 0.000
10.505 0.000 2.025
13.689 0.000 0.660
```

The calculation puts the spin magnetization at 0.00 μB per cell. The formation energy comes out at -458 meV/atom. Its space group is No. 12.


No. 7
The following is a PBE calculation of a relaxed structure of KPmPdCl6, from Alexandria.

POSCAR file:
```
KPmPdCl6
1.0
6.816 0.000 0.000
-3.408 5.903 0.000
0.000 0.000 7.069
K Pm Pd Cl
1 1 1 6
Cartesian
0.000 0.000 0.000
3.408 1.968 3.534
0.000 3.935 3.534
-1.146 2.213 5.050
-2.064 3.804 2.019
1.146 2.213 2.019
-0.918 5.788 5.050
2.064 3.804 5.050
0.918 5.788 2.019
```

The calculation puts the spin magnetization at 2.00 μB per cell. Its space group is No. 149. The calculation puts the energy relative to the elements, uncorrected at -13.97 eV/f.u.


No. 8
The following is a PBE calculation of a relaxed structure of K2PrInO4, from Alexandria.

POSCAR file:
```
K2PrInO4
1.0
6.041 0.000 0.000
0.000 3.547 0.000
-2.062 0.000 6.294
K Pr In O
2 1 1 4
Cartesian
0.000 0.000 0.000
3.021 1.774 0.000
-1.031 1.774 3.147
1.990 0.000 3.147
0.046 0.000 4.365
1.081 1.774 1.946
2.898 1.774 4.348
3.933 0.000 1.929
```

The calculation puts the spin magnetization at 0.00 μB per cell. Its space group is No. 10. The calculation puts the energy relative to the elements, uncorrected at -16.13 eV/f.u.


No. 9
The following is a PBE calculation of a relaxed structure of Np3Te12Pb5, from Alexandria.

POSCAR file:
```
Np3Te12Pb5
1.0
-9.144 9.144 9.144
9.144 -9.144 9.144
9.144 9.144 -9.144
Np Te Pb
12 48 20
Cartesian
4.572 2.286 0.000
9.144 4.572 -2.286
2.286 0.000 4.572
11.431 0.000 4.572
0.000 4.572 2.286
4.572 -2.286 9.144
4.572 11.431 0.000
9.144 4.572 6.858
-2.286 9.144 4.572
6.858 9.144 4.572
0.000 4.572 11.431
4.572 6.858 9.144
2.846 -0.221 1.337
10.871 5.909 -4.793
8.924 -1.337 2.846
13.938 -1.726 3.236
11.990 0.221 1.337
10.871 -3.236 4.793
1.337 2.846 -0.221
12.380 4.351 -1.726
5.909 4.793 -1.726
7.808 2.846 0.221
-0.221 1.337 2.846
4.793 -1.726 5.909
8.924 7.808 -2.846
4.793 1.726 3.236
7.808 -2.846 8.924
5.909 -4.793 10.871
3.236 4.793 1.726
10.481 6.299 0.221
2.846 8.924 -1.337
10.871 3.236 4.351
4.793 10.871 -3.236
8.924 1.337 6.299
1.726 3.236 4.793
2.846 0.221 7.808
6.299 8.924 1.337
7.418 5.909 4.351
0.221 7.808 2.846
4.351 -1.726 12.380
-1.726 5.909 4.793
6.299 0.221 10.481
-1.337 2.846 8.924
5.909 4.351 7.418
3.236 13.938 -1.726
1.337 11.990 0.221
4.351 7.418 5.909
0.221 1.337 11.990
4.351 10.871 3.236
9.365 7.808 6.299
1.337 6.299 8.924
3.236 4.351 10.871
-3.236 4.793 10.871
7.808 6.299 9.365
-1.726 12.380 4.351
-2.846 8.924 7.808
-4.793 10.871 5.909
0.221 10.481 6.299
-1.726 3.236 13.938
6.299 9.365 7.808
0.000 0.000 0.000
4.572 4.572 -4.572
4.572 -4.572 4.572
9.144 0.000 0.000
13.717 2.286 0.000
9.144 -4.572 6.858
6.858 9.144 -4.572
6.858 0.000 4.572
4.572 6.858 0.000
9.144 4.572 2.286
-4.572 4.572 4.572
0.000 9.144 0.000
0.000 0.000 9.144
4.572 4.572 4.572
0.000 4.572 6.858
4.572 2.286 9.144
2.286 9.144 4.572
2.286 0.000 13.717
0.000 13.717 2.286
-4.572 6.858 9.144
```

The calculation puts the spin magnetization at 42.51 μB per cell. Its space group is No. 230. The calculation puts the energy relative to the elements, uncorrected at -5.53 eV/f.u.


No. 10
The following is a PBE calculation of a relaxed structure of PuIn2Ag, from Alexandria.

POSCAR file:
```
PuIn2Ag
1.0
1.640 0.947 10.150
-1.640 0.947 10.150
0.000 -1.894 10.150
Pu In Ag
1 2 1
Cartesian
0.000 0.000 0.000
0.000 0.000 17.524
0.000 0.000 23.050
0.000 0.000 5.055
```

The calculation puts the spin magnetization at 5.77 μB per cell. The formation energy comes out at 2 meV/atom. The calculation puts the energy above the most stable polymorph in this dataset at 0.130 eV/atom. Its space group is No. 160.


No. 11
The following is a PBE calculation of a relaxed structure of La2CoC, from Alexandria.

POSCAR file:
```
La2CoC
1.0
7.433 -1.828 0.000
7.433 1.828 0.000
-1.928 0.000 7.323
La Co C
4 2 2
Cartesian
1.682 0.007 0.443
0.718 -0.007 4.105
12.221 0.007 3.218
11.257 -0.007 6.880
6.951 -0.001 1.831
5.987 0.001 5.492
6.951 1.826 1.831
5.987 -1.826 5.492
```

The calculation puts the spin magnetization at 0.00 μB per cell. The formation energy comes out at -184 meV/atom. Its space group is No. 15.


No. 12
The following is a PBE calculation of a relaxed structure of CoSb2W, from Alexandria.

POSCAR file:
```
CoSb2W
1.0
4.221 -1.614 0.000
4.221 1.614 0.000
-1.413 0.000 5.314
Co Sb W
1 2 1
Cartesian
0.000 0.000 0.000
1.109 0.000 4.024
5.920 0.000 1.290
3.514 0.000 2.657
```

The calculation puts the spin magnetization at 0.00 μB per cell. The calculation puts the energy above the most stable polymorph in this dataset at 0.349 eV/atom. Its space group is No. 12. The calculation puts the energy relative to the elements, uncorrected at 2.37 eV/f.u.


No. 13
The following is a PBE calculation of a relaxed structure of TeIr2Rh, from Alexandria.

POSCAR file:
```
TeIr2Rh
1.0
1.480 0.854 8.800
-1.480 0.854 8.800
0.000 -1.709 8.800
Te Ir Rh
1 2 1
Cartesian
0.000 0.000 0.000
0.000 0.000 6.522
0.000 0.000 19.879
0.000 0.000 13.201
```

The calculation puts the spin magnetization at 0.00 μB per cell. Its space group is No. 166. The calculation puts the energy relative to the elements, uncorrected at 2.25 eV/f.u.


No. 14
The following is a PBE calculation of a relaxed structure of Sm2PbF, from Alexandria.

POSCAR file:
```
Sm2PbF
1.0
2.391 1.380 7.494
-2.391 1.380 7.494
0.000 -2.761 7.494
Sm Pb F
2 1 1
Cartesian
0.000 0.000 2.251
0.000 0.000 20.229
0.000 0.000 11.240
0.000 0.000 0.000
```

The calculation puts the spin magnetization at 0.00 μB per cell. Its space group is No. 166. The calculation puts the energy relative to the elements, uncorrected at -5.53 eV/f.u.


No. 15
The following is a PBE calculation of a relaxed structure of RbSrNpI6, from Alexandria.

POSCAR file:
```
RbSrNpI6
1.0
8.400 0.000 0.000
-4.200 7.275 0.000
0.000 0.000 15.756
Rb Sr Np I
2 2 2 12
Cartesian
0.000 0.000 0.000
0.000 0.000 7.878
0.000 4.850 3.939
4.200 2.425 11.817
0.000 4.850 11.817
4.200 2.425 3.939
-1.447 2.724 10.027
-2.565 4.659 13.608
1.447 2.724 13.608
-1.117 7.166 10.027
3.083 0.108 2.149
1.635 2.615 5.730
2.565 4.659 10.027
1.117 7.166 13.608
5.317 0.108 5.730
2.753 4.551 2.149
6.765 2.615 2.149
5.647 4.551 5.730
```

The calculation puts the spin magnetization at 8.00 μB per cell. Its space group is No. 163. The calculation puts the energy relative to the elements, uncorrected at -11.58 eV/f.u.


No. 16
The following is a PBE calculation of a relaxed structure of SrDyGa, from Alexandria.

POSCAR file:
```
SrDyGa
1.0
-1.869 1.869 6.733
1.869 -1.869 6.733
1.869 1.869 -6.733
Sr Dy Ga
1 1 1
Cartesian
0.000 0.000 0.000
0.000 0.000 3.623
0.000 0.000 8.907
```

The calculation puts the spin magnetization at 0.00 μB per cell. The formation energy comes out at -261 meV/atom. The calculation puts the energy above the most stable polymorph in this dataset at 0.000 eV/atom. Its space group is No. 107.